Entry 1:
PmSm8In6 | PBE-GGA | relaxed

Values from the calculation:
raw total energy	-4.164	eV/atom
calculated volume	32.18	Å³/atom
total magnetization	0.00	μB/f.u.
formation energy from the elements	-0.23	eV/atom
density of states at the Fermi level	69.60	states/eV/cell

abc: 9.1974 9.1974 19.7691
angles: 90.00 90.00 120.00
Last column: nearest neighbours and their distance in Å.
Space group R-3 (No. 148, hexagonal axes)
Inequivalent atoms, fractional coordinates:
1 Pm 0.0000 0.0000 0.0000 (multiplicity 3)  6 In 3.27
2 Sm 0.0000 0.0000 0.3332 (multiplicity 6)  6 In 3.26
3 Sm 0.0001 0.3332 0.1147 (multiplicity 18)  5 In 3.22-3.37
4 In 0.9999 0.3341 0.9440 (multiplicity 18)  7 Sm 3.22-3.37, 1 Pm 3.27

***

Entry 2:
Pm3Sm2In | PBE-GGA | relaxed

Values from the calculation:
raw total energy	-4.559	eV/atom
calculated volume	31.71	Å³/atom
total magnetization	0.00	μB/f.u.
formation energy from the elements	-0.15	eV/atom
density of states at the Fermi level	15.28	states/eV/cell

abc: 4.9590 15.4659 4.9610
angles: 90.00 90.00 90.00
Last column: nearest neighbours and their distance in Å.
Space group Cmmm (No. 65)
Inequivalent atoms, fractional coordinates:
1 Pm 0.0000 0.0000 0.0000 (multiplicity 2)  4 In 3.51, 4 Sm 3.53, 4 Pm 3.56
2 Pm 0.0000 0.3351 0.0000 (multiplicity 4)  6 Sm 3.51-3.65, 4 Pm 3.56-3.62, 2 In 3.56
3 Sm 0.0000 0.1620 0.5000 (multiplicity 4)  8 Pm 3.51-3.65, 2 In 3.52, 2 Sm 3.68
4 In 0.0000 0.5000 0.5000 (multiplicity 2)  8 Pm 3.51-3.56, 4 Sm 3.52

***

Entry 3:
Pm6Sm8In | PBE-GGA | relaxed

Values from the calculation:
raw total energy	-4.537	eV/atom
calculated volume	33.87	Å³/atom
total magnetization	0.00	μB/f.u.
formation energy from the elements	0.06	eV/atom
density of states at the Fermi level	18.78	states/eV/cell

abc: 9.4360 9.4360 6.5878
angles: 90.00 90.00 120.00
Last column: nearest neighbours and their distance in Å.
Space group P-3 (No. 147)
Inequivalent atoms, fractional coordinates:
1 Pm 0.0918 0.6461 0.1708 (multiplicity 6)  1 Pm 3.30, 5 Sm 3.36-3.68
2 Sm 0.0392 0.7720 0.6815 (multiplicity 6)  1 In 3.16, 3 Sm 3.36-3.39, 1 Pm 3.36
3 Sm 0.3333 0.6667 0.6408 (multiplicity 2)  3 Sm 3.39, 3 Pm 3.79
4 In 0.0000 0.0000 0.0000 (multiplicity 1)  6 Sm 3.16

***

Entry 4:
Pm5Sm4In4 | PBE-GGA | relaxed

Values from the calculation:
raw total energy	-4.435	eV/atom
calculated volume	31.14	Å³/atom
total magnetization	0.00	μB/f.u.
formation energy from the elements	-0.31	eV/atom
density of states at the Fermi level	32.83	states/eV/cell

abc: 12.4596 12.4596 5.2154
angles: 90.00 90.00 90.00
Last column: nearest neighbours and their distance in Å.
Space group I4/m (No. 87)
Inequivalent atoms, fractional coordinates:
1 Pm 0.0000 0.0000 0.0000 (multiplicity 2)  4 In 3.21
2 Pm 0.0961 0.1887 0.5000 (multiplicity 8)  3 In 3.26-3.28, 2 Sm 3.58
3 Sm 0.0956 0.3858 0.0000 (multiplicity 8)  3 In 3.20-3.37, 2 Pm 3.58
4 In 0.1111 0.7671 0.0000 (multiplicity 8)  3 Sm 3.20-3.37, 4 Pm 3.21-3.28

***

Entry 5:
Pm2Sm3In2 | PBE-GGA | relaxed

Values from the calculation:
raw total energy	-4.333	eV/atom
calculated volume	30.16	Å³/atom
total magnetization	0.26	μB/f.u.
formation energy from the elements	-0.17	eV/atom
density of states at the Fermi level	15.15	states/eV/cell

abc: 4.7989 24.8769 3.5367
angles: 90.00 90.00 90.00
Last column: nearest neighbours and their distance in Å.
Space group Cmmm (No. 65)
Inequivalent atoms, fractional coordinates:
1 Pm 0.0000 0.2106 0.0000 (multiplicity 4)  2 Pm 3.10
2 Sm 0.0000 0.3633 0.5000 (multiplicity 4)  3 Sm 3.40-3.54, 4 In 3.41, 4 Pm 3.50
3 Sm 0.0000 0.5000 0.5000 (multiplicity 2)  4 Sm 3.40-3.54, 8 In 3.45
4 In 0.0000 0.0700 0.0000 (multiplicity 4)  8 Sm 3.41-3.45, 3 In 3.48-3.54, 1 Pm 3.50

***

Entry 6:
Pm8Sm3In | PBE-GGA | relaxed

Values from the calculation:
raw total energy	-4.138	eV/atom
calculated volume	36.62	Å³/atom
total magnetization	0.00	μB/f.u.
formation energy from the elements	0.44	eV/atom
density of states at the Fermi level	36.31	states/eV/cell

abc: 8.7380 8.7380 11.5109
angles: 90.00 90.00 90.00
Last column: nearest neighbours and their distance in Å.
Space group I-42m (No. 121)
Inequivalent atoms, fractional coordinates:
1 Pm 0.1264 0.1264 0.2516 (multiplicity 8)  3 Pm 3.12-3.37, 3 Sm 3.26-3.45, 1 In 3.29
2 Pm 0.2472 0.2472 0.5141 (multiplicity 8)  1 Sm 3.06, 1 In 3.13, 2 Pm 3.15-3.37
3 Sm 0.0000 0.0000 0.5000 (multiplicity 2)  8 Pm 3.06-3.26
4 Sm 0.0000 0.5000 0.2500 (multiplicity 4)  4 Pm 3.45
5 In 0.0000 0.0000 0.0000 (multiplicity 2)  8 Pm 3.13-3.29